(1)
Entry from Alexandria via LeMat-Bulk: crystalline Li2Ho3Al9 at its relaxed geometry (GGA-PBE).

Geometry as POSCAR:
```
Li2Ho3Al9
1.0
-2.1712 4.9263 6.2583
2.1712 -4.9263 6.2583
2.1712 4.9263 -6.2583
Li Ho Al
2 3 9
direct
0.1899 0.0000 0.1899
0.8101 0.0000 0.8101
0.1973 0.1973 0.0000
0.5000 0.5000 0.0000
0.8027 0.8027 0.0000
0.0000 0.5000 0.5000
0.0827 0.3632 0.7195
0.2143 0.8471 0.3672
0.3563 0.6368 0.7195
0.4799 0.8471 0.6328
0.5201 0.1529 0.3672
0.6437 0.3632 0.2805
0.7857 0.1529 0.6328
0.9173 0.6368 0.2805
```

## Properties
density of states at the Fermi level = 5.9 states/eV/f.u.
formation energy from the elements = -0.35 eV per atom
space group = Immm (71)
calculated volume = 267.8 Å³/cell


(2)
Entry from Alexandria via LeMat-Bulk: crystalline LaCoMo at its relaxed geometry (GGA-PBE).

Geometry as POSCAR:
```
LaCoMo
1.0
0.0000 3.1847 3.1847
3.1847 0.0000 3.1847
3.1847 3.1847 0.0000
La Co Mo
1 1 1
direct
0.0000 0.0000 0.0000
0.7500 0.7500 0.7500
0.5000 0.5000 0.5000
```

## Properties
density of states at the Fermi level = 4.6 states/eV/f.u.
formation energy from the elements = 0.73 eV per atom
excess energy over the best structure of this formula in the dataset = 645.1 meV/atom
space group = F-43m (216)
calculated volume = 64.6 Å³/cell


(3)
Entry from Alexandria via LeMat-Bulk: crystalline Ac3AlTl at its relaxed geometry (GGA-PBE).

Geometry as POSCAR:
```
Ac3AlTl
1.0
4.2398 0.0000 0.0000
2.1123 9.0600 0.0000
0.0063 0.7961 9.5710
Ac Al Tl
6 2 2
direct
0.0539 0.3923 0.2065
0.2415 0.0158 0.8130
0.4001 0.6984 0.4330
0.5999 0.3016 0.5670
0.7585 0.9842 0.1870
0.9461 0.6077 0.7935
0.2164 0.0678 0.4379
0.7836 0.9322 0.5621
0.3991 0.7028 0.0703
0.6009 0.2972 0.9297
```

## Properties
density of states at the Fermi level = 5.9 states/eV/f.u.
formation energy from the elements = -0.24 eV per atom
excess energy over the best structure of this formula in the dataset = 0.0 meV/atom
space group = P-1 (2)
calculated volume = 367.6 Å³/cell


(4)
Entry from Alexandria via LeMat-Bulk: crystalline CaAcPdPt at its relaxed geometry (GGA-PBE).

Geometry as POSCAR:
```
CaAcPdPt
1.0
4.5642 0.0000 0.0000
0.0000 2.0386 5.5523
0.0000 -2.0386 5.5523
Ca Ac Pd Pt
1 1 1 1
direct
0.0000 0.0000 0.0000
0.5000 0.2766 0.2766
0.0000 0.7146 0.7146
0.5000 0.5537 0.5537
```

## Properties
density of states at the Fermi level = 2.0 states/eV/f.u.
formation energy from the elements = -0.91 eV per atom
excess energy over the best structure of this formula in the dataset = 0.0 meV/atom
space group = Amm2 (38)
calculated volume = 103.3 Å³/cell


(5)
Entry from Alexandria via LeMat-Bulk: crystalline Ac4CeSn2 at its relaxed geometry (GGA-PBE).

Geometry as POSCAR:
```
Ac4CeSn2
1.0
2.9138 1.6823 9.8155
-2.9138 1.6823 9.8155
0.0000 -3.3646 9.8155
Ac Ce Sn
4 1 2
direct
0.1279 0.1279 0.1279
0.2795 0.2795 0.2795
0.7205 0.7205 0.7205
0.8721 0.8721 0.8721
0.5000 0.5000 0.5000
0.3944 0.3944 0.3944
0.6056 0.6056 0.6056
```

## Properties
density of states at the Fermi level = 12.1 states/eV/f.u.
formation energy from the elements = -0.21 eV per atom
space group = R-3m (166)
calculated volume = 288.7 Å³/cell